# TcTe2Au | Alexandria via LeMat-Bulk | PBEsol | relaxed
# formation energy (no corrections): 0.11 eV per atom
# uncorrected energy: -21.791 eV per formula unit
# polymorph energy (0 for the lowest one): 0.000 eV/atom
data_TcTe2Au
_cell_length_a 7.464
_cell_length_b 3.254
_cell_length_c 8.458
_cell_angle_alpha 90.00
_cell_angle_beta 107.21
_cell_angle_gamma 90.00
_space_group_name_H-M_alt 'C 1 2/m 1'
_space_group_IT_number 12
loop_
_space_group_symop_operation_xyz
'x,y,z'
'-x,-y,-z'
'-x,y,-z'
'x,-y,z'
'x+1/2,y+1/2,z'
'-x+1/2,-y+1/2,-z'
'-x+1/2,y+1/2,-z'
'x+1/2,-y+1/2,z'
loop_
_atom_site_label
_atom_site_type_symbol
_atom_site_fract_x
_atom_site_fract_y
_atom_site_fract_z
Tc1 Tc 0.000 0.000 0.000
Te1 Te 0.144 0.500 0.819
Au1 Au 0.000 0.500 0.500

# TcTe2Au | Alexandria via LeMat-Bulk | PBEsol | relaxed
# formation energy (no corrections): 0.51 eV per atom
# uncorrected energy: -20.199 eV per formula unit
# polymorph energy (0 for the lowest one): 0.398 eV/atom
data_TcTe2Au
_cell_length_a 3.209
_cell_length_b 5.135
_cell_length_c 10.167
_cell_angle_alpha 90.00
_cell_angle_beta 90.00
_cell_angle_gamma 90.00
_space_group_name_H-M_alt 'C m m m'
_space_group_IT_number 65
_space_group_name_Hall '-C 2 2'
loop_
_atom_site_label
_atom_site_type_symbol
_atom_site_fract_x
_atom_site_fract_y
_atom_site_fract_z
Tc1 Tc 0.000 0.000 0.000
Te1 Te 0.000 0.500 0.214
Au1 Au 0.000 0.000 0.500